22
Lattice="9.163 0.000 4.044 3.946 10.528 3.462 0.249 0.094 11.838" Properties=species:S:1:pos:R:3 comment="Ga2SnI8, relaxed, DFT PBE" space_group=C2/c crystal_system=monoclinic relative_energy_kj_per_mol_atoms=0.00 n_ef_per_ev_atom=0.00 total_magnetization_mub_per_fu=0.0 e_form_raw_mev_per_atom=-500 pbc="T T T"
Sn 12.136 7.919 9.578
Sn 1.223 2.702 9.766
I 10.349 10.092 8.192
I 3.951 2.799 2.679
I 3.452 4.875 10.152
I 5.301 5.656 6.381
I 6.620 8.110 10.580
I 9.408 7.822 16.665
I 4.131 7.508 14.339
I 3.010 0.530 11.152
I 8.058 4.965 12.963
I 6.740 2.511 8.763
I 9.229 3.114 5.005
I 9.908 5.747 9.192
I 5.168 10.182 6.683
I 8.191 0.439 12.661
I 2.852 2.197 7.050
I 10.508 8.425 12.293
Ga 4.667 3.789 8.082
Ga 8.692 6.832 11.262
Ga 2.051 1.521 1.607
Ga 11.309 9.100 17.737